No. 1
DFT (PBE-GGA) results for crystalline HoCuNi5 at its relaxed geometry.

Its calculated total energy is -5.596 eV/atom. The formation energy from the elements comes out at -1.6 eV/f.u. The calculation puts the total magnetic moment at 4.92 Bohr magnetons per cell.

It has space group Pnma (No. 62), with a = 7.8033 Å, b = 4.8072 Å, c = 9.8729 Å, α = 90.00°, β = 90.00° and γ = 90.00°. Symmetry generates all atoms from Ho at (0.2415, 0.2500, 0.0605), Cu at (0.1415, 0.7500, 0.8552), Ni at (0.0582, 0.7500, 0.0964), Ni at (0.0677, 0.0051, 0.3101), Ni at (0.1007, 0.2500, 0.5188) and Ni at (0.1839, 0.2500, 0.7538).

***

No. 2
DFT (PBE-GGA) results for crystalline KTc3Os at its relaxed geometry.

The calculation puts the energy above the lowest structure with this stoichiometry at 0.000 eV per atom. Its calculated total energy is -7.044 eV/atom. The formation energy from the elements comes out at 8.2 eV/f.u. The calculation puts the total magnetic moment at 3.15 Bohr magnetons per cell.

It has space group Pm-3m (No. 221), with a = 4.8308 Å, b = 4.8308 Å, c = 4.8308 Å, α = 90.00°, β = 90.00° and γ = 90.00°. Symmetry generates all atoms from K at (0.0000, 0.0000, 0.0000), Tc at (0.0000, 0.5000, 0.5000) and Os at (0.5000, 0.5000, 0.5000).